The following is a DFT calculation (PBE) of crystalline Sr2AlGeTe5 at its relaxed geometry.

abc: 4.3355 10.4426 13.3177
angles: 90.00 90.00 101.98
Positions (direct):
Sr (0.8774, 0.7548, 0.8012)
Sr (0.1081, 0.2161, 0.6758)
Sr (0.1226, 0.2452, 0.3012)
Sr (0.8919, 0.7839, 0.1758)
Al (0.5725, 0.1449, 0.9456)
Al (0.4275, 0.8551, 0.4456)
Ge (0.7729, 0.5457, 0.5260)
Ge (0.2271, 0.4543, 0.0260)
Te (0.3587, 0.7173, 0.9926)
Te (0.6942, 0.3884, 0.8702)
Te (0.5033, 0.0066, 0.7814)
Te (0.2736, 0.5472, 0.6728)
Te (0.9486, 0.8973, 0.5584)
Te (0.6414, 0.2827, 0.4926)
Te (0.3058, 0.6116, 0.3702)
Te (0.4967, 0.9934, 0.2814)
Te (0.7264, 0.4528, 0.1728)
Te (0.0514, 0.1027, 0.0584)

## Properties
Raw formation energy: -0.867 eV per atom
Volume: 589.8 Å³/cell
Uncorrected energy: -0.1439 Ha/atom